Record 1
# AgRhI (PBE-GGA, optimized geometry)
data_AgRhI
_chemical_formula_sum 'Ag2 Rh2 I2'
_symmetry_space_group_name_H-M 'P 1'
_symmetry_Int_Tables_number 1
_symmetry_space_group_name_Hall 'P 1'
_cell_length_a 4.515
_cell_length_b 4.515
_cell_length_c 8.868
_cell_angle_alpha 104.54
_cell_angle_beta 90.09
_cell_angle_gamma 119.99
loop_
_atom_site_label
_atom_site_type_symbol
_atom_site_fract_x
_atom_site_fract_y
_atom_site_fract_z
_atom_site_occupancy
Ag1 Ag 0.000 0.000 0.000 1
Ag2 Ag 0.271 0.544 0.814 1
Rh1 Rh 0.619 0.238 0.856 1
Rh2 Rh 0.887 0.775 0.659 1
I1 I 0.519 0.041 0.557 1
I2 I 0.725 0.448 0.174 1
# Relative energy among the computed polymorphs ... 0.0 meV per atom
# Formation energy from raw total energies ... 149 meV per atom

=====

Record 2
# ThAgGe2 (PBE-GGA, optimized geometry)
data_ThAgGe2
_chemical_formula_sum 'Th1 Ag1 Ge2'
_symmetry_space_group_name_H-M 'P 1'
_symmetry_Int_Tables_number 1
_symmetry_space_group_name_Hall 'P 1'
_cell_length_a 4.569
_cell_length_b 4.569
_cell_length_c 4.197
_cell_angle_alpha 90.00
_cell_angle_beta 90.00
_cell_angle_gamma 90.00
loop_
_atom_site_label
_atom_site_type_symbol
_atom_site_fract_x
_atom_site_fract_y
_atom_site_fract_z
_atom_site_occupancy
Th1 Th 0.000 0.000 0.000 1
Ag1 Ag 0.500 0.500 0.000 1
Ge1 Ge 0.000 0.500 0.500 1
Ge2 Ge 0.500 0.000 0.500 1
# DFT formation energy ... -0.35 eV per atom

=====

Record 3
# Na5HF4 (PBE-GGA, optimized geometry)
data_Na5HF4
_chemical_formula_sum 'Na5 H1 F4'
_symmetry_space_group_name_H-M 'P 1'
_symmetry_Int_Tables_number 1
_symmetry_space_group_name_Hall 'P 1'
_cell_length_a 5.774
_cell_length_b 5.774
_cell_length_c 8.167
_cell_angle_alpha 118.14
_cell_angle_beta 118.14
_cell_angle_gamma 33.57
loop_
_atom_site_label
_atom_site_type_symbol
_atom_site_fract_x
_atom_site_fract_y
_atom_site_fract_z
_atom_site_occupancy
Na1 Na 0.000 0.000 0.000 1
Na2 Na 0.200 0.200 0.802 1
Na3 Na 0.399 0.399 0.602 1
Na4 Na 0.601 0.601 0.398 1
Na5 Na 0.800 0.800 0.198 1
H1 H 0.000 0.000 0.500 1
F1 F 0.200 0.200 0.299 1
F2 F 0.400 0.400 0.099 1
F3 F 0.600 0.600 0.901 1
F4 F 0.800 0.800 0.701 1
# Energy ... -3.97 eV per atom

=====

Record 4
# MgGaRh2Se (PBE-GGA, optimized geometry)
data_MgGaRh2Se
_chemical_formula_sum 'Mg1 Ga1 Rh2 Se1'
_symmetry_space_group_name_H-M 'P 1'
_symmetry_Int_Tables_number 1
_symmetry_space_group_name_Hall 'P 1'
_cell_length_a 4.629
_cell_length_b 4.629
_cell_length_c 4.915
_cell_angle_alpha 90.00
_cell_angle_beta 90.00
_cell_angle_gamma 90.00
loop_
_atom_site_label
_atom_site_type_symbol
_atom_site_fract_x
_atom_site_fract_y
_atom_site_fract_z
_atom_site_occupancy
Mg1 Mg 0.000 0.000 0.000 1
Ga1 Ga 0.500 0.500 0.000 1
Rh1 Rh 0.000 0.500 0.500 1
Rh2 Rh 0.500 0.000 0.500 1
Se1 Se 0.500 0.500 0.500 1
# Formation energy from raw total energies ... 329 meV per atom

=====

Record 5
# YScCr4 (PBE-GGA, optimized geometry)
data_YScCr4
_chemical_formula_sum 'Y1 Sc1 Cr4'
_symmetry_space_group_name_H-M 'P 1'
_symmetry_Int_Tables_number 1
_symmetry_space_group_name_Hall 'P 1'
_cell_length_a 5.117
_cell_length_b 5.117
_cell_length_c 5.117
_cell_angle_alpha 60.00
_cell_angle_beta 60.00
_cell_angle_gamma 60.00
loop_
_atom_site_label
_atom_site_type_symbol
_atom_site_fract_x
_atom_site_fract_y
_atom_site_fract_z
_atom_site_occupancy
Y1 Y 0.000 0.000 0.000 1
Sc1 Sc 0.250 0.250 0.250 1
Cr1 Cr 0.125 0.625 0.625 1
Cr2 Cr 0.625 0.125 0.625 1
Cr3 Cr 0.625 0.625 0.125 1
Cr4 Cr 0.625 0.625 0.625 1
# DFT formation energy ... 0.25 eV per atom

=====

Record 6
# Pm2AuSe2O2 (PBE-GGA, optimized geometry)
data_Pm2AuSe2O2
_chemical_formula_sum 'Pm2 Au1 Se2 O2'
_symmetry_space_group_name_H-M 'P 1'
_symmetry_Int_Tables_number 1
_symmetry_space_group_name_Hall 'P 1'
_cell_length_a 3.951
_cell_length_b 3.951
_cell_length_c 11.853
_cell_angle_alpha 90.00
_cell_angle_beta 90.00
_cell_angle_gamma 120.00
loop_
_atom_site_label
_atom_site_type_symbol
_atom_site_fract_x
_atom_site_fract_y
_atom_site_fract_z
_atom_site_occupancy
Pm1 Pm 0.333 0.667 0.127 1
Pm2 Pm 0.667 0.333 0.873 1
Au1 Au 0.000 0.000 0.500 1
Se1 Se 0.000 0.000 0.299 1
Se2 Se 0.000 0.000 0.701 1
O1 O 0.333 0.667 0.925 1
O2 O 0.667 0.333 0.075 1
# Formation energy from raw total energies ... -2001 meV per atom

=====

Record 7
# Ti2AlCuSe (PBE-GGA, optimized geometry)
data_Ti2AlCuSe
_chemical_formula_sum 'Ti2 Al1 Cu1 Se1'
_symmetry_space_group_name_H-M 'P 1'
_symmetry_Int_Tables_number 1
_symmetry_space_group_name_Hall 'P 1'
_cell_length_a 4.739
_cell_length_b 4.739
_cell_length_c 4.339
_cell_angle_alpha 90.00
_cell_angle_beta 90.00
_cell_angle_gamma 90.00
loop_
_atom_site_label
_atom_site_type_symbol
_atom_site_fract_x
_atom_site_fract_y
_atom_site_fract_z
_atom_site_occupancy
Ti1 Ti 0.000 0.500 0.000 1
Ti2 Ti 0.500 0.000 0.000 1
Al1 Al 0.000 0.000 0.500 1
Cu1 Cu 0.000 0.000 0.000 1
Se1 Se 0.500 0.500 0.500 1
# Formation energy from raw total energies ... 299 meV per atom

=====

Record 8
# Sm8Pt3SBr4 (PBE-GGA, optimized geometry)
data_Sm8Pt3SBr4
_chemical_formula_sum 'Sm8 Pt3 S1 Br4'
_symmetry_space_group_name_H-M 'P 1'
_symmetry_Int_Tables_number 1
_symmetry_space_group_name_Hall 'P 1'
_cell_length_a 8.896
_cell_length_b 8.896
_cell_length_c 8.896
_cell_angle_alpha 56.08
_cell_angle_beta 56.08
_cell_angle_gamma 56.08
loop_
_atom_site_label
_atom_site_type_symbol
_atom_site_fract_x
_atom_site_fract_y
_atom_site_fract_z
_atom_site_occupancy
Sm1 Sm 0.230 0.737 0.737 1
Sm2 Sm 0.231 0.231 0.231 1
Sm3 Sm 0.263 0.263 0.770 1
Sm4 Sm 0.263 0.770 0.263 1
Sm5 Sm 0.737 0.230 0.737 1
Sm6 Sm 0.737 0.737 0.230 1
Sm7 Sm 0.769 0.769 0.769 1
Sm8 Sm 0.770 0.263 0.263 1
Pt1 Pt 0.000 0.000 0.500 1
Pt2 Pt 0.000 0.500 0.000 1
Pt3 Pt 0.500 0.000 0.000 1
S1 S 0.500 0.500 0.500 1
Br1 Br 0.000 0.000 0.000 1
Br2 Br 0.000 0.500 0.500 1
Br3 Br 0.500 0.000 0.500 1
Br4 Br 0.500 0.500 0.000 1
# Formation energy from raw total energies ... -1298 meV per atom

=====

Record 9
# NaMnPbCl6 (PBE-GGA, optimized geometry)
data_NaMnPbCl6
_chemical_formula_sum 'Na1 Mn1 Pb1 Cl6'
_symmetry_space_group_name_H-M 'P 1'
_symmetry_Int_Tables_number 1
_symmetry_space_group_name_Hall 'P 1'
_cell_length_a 6.732
_cell_length_b 6.732
_cell_length_c 6.105
_cell_angle_alpha 90.00
_cell_angle_beta 90.00
_cell_angle_gamma 120.00
loop_
_atom_site_label
_atom_site_type_symbol
_atom_site_fract_x
_atom_site_fract_y
_atom_site_fract_z
_atom_site_occupancy
Na1 Na 0.000 0.000 0.000 1
Mn1 Mn 0.333 0.667 0.000 1
Pb1 Pb 0.667 0.333 0.500 1
Cl1 Cl 0.042 0.374 0.228 1
Cl2 Cl 0.042 0.668 0.772 1
Cl3 Cl 0.332 0.374 0.772 1
Cl4 Cl 0.332 0.958 0.228 1
Cl5 Cl 0.626 0.668 0.228 1
Cl6 Cl 0.626 0.958 0.772 1
# Formation energy from raw total energies ... -1177 meV per atom

=====

Record 10
# Tl2BrClO (PBE-GGA, optimized geometry)
data_Tl2BrClO
_chemical_formula_sum 'Tl2 Br1 Cl1 O1'
_symmetry_space_group_name_H-M 'P 1'
_symmetry_Int_Tables_number 1
_symmetry_space_group_name_Hall 'P 1'
_cell_length_a 6.081
_cell_length_b 6.081
_cell_length_c 5.241
_cell_angle_alpha 90.00
_cell_angle_beta 90.00
_cell_angle_gamma 90.00
loop_
_atom_site_label
_atom_site_type_symbol
_atom_site_fract_x
_atom_site_fract_y
_atom_site_fract_z
_atom_site_occupancy
Tl1 Tl 0.000 0.500 0.000 1
Tl2 Tl 0.500 0.000 0.000 1
Br1 Br 0.000 0.000 0.500 1
Cl1 Cl 0.000 0.000 0.000 1
O1 O 0.500 0.500 0.500 1
# Formation energy from raw total energies ... 146 meV per atom

=====

no.,M_tot (Bohr magnetons per cell)
1,0.00
2,0.00
3,0.00
4,0.00
5,0.00
6,0.00
7,1.56
8,0.00
9,4.00
10,1.10